# BaZnPF

Crystalline BaZnPF at its relaxed geometry (GGA-PBE, Alexandria).

```
BaZnPF
1.0
4.1859 0.0000 0.0000
0.0000 4.1859 0.0000
0.0000 0.0000 9.5809
Ba Zn P F
2 2 2 2
Cartesian
2.0930 0.0000 6.4191 Ba
0.0000 2.0930 3.1618 Ba
2.0930 2.0930 0.0000 Zn
0.0000 0.0000 0.0000 Zn
0.0000 2.0930 8.1695 P
2.0930 0.0000 1.4115 P
0.0000 0.0000 4.7905 F
2.0930 2.0930 4.7905 F
```

Output
Magnetic moment: 0.00 μB per cell
Symmetry: P4/nmm (129)
Uncorrected energy: -4.492 eV per atom
ΔE_f (raw): -1.8730 eV/atom